[1]
{
  "formula": "Hf3BeW",
  "functional": "GGA-PBE",
  "state": "relaxed",
  "lattice_angstrom": [[5.0287, 0.0000, 0.0000], [0.0000, 5.0287, 0.0000], [0.0000, 0.0000, 5.0287]],
  "species": ["Hf", "Hf", "Hf", "W", "Be"],
  "fractional_positions": [[0.0000, 0.0000, 0.5000], [0.0000, 0.5000, 0.0000], [0.5000, 0.0000, 0.0000], [0.0000, 0.0000, 0.0000], [0.5000, 0.5000, 0.5000]],
  "formation_enthalpy_0k_ev_per_fu": 6.6,
  "polymorph_energy_mev_per_atom": 628,
  "density_g_cm3": 9.5
}

[2]
{
  "formula": "PmSm7Er2",
  "functional": "GGA-PBE",
  "state": "relaxed",
  "lattice_angstrom": [[5.7048, 0.0000, 0.0000], [0.0000, 9.1806, -0.4375], [0.0000, -4.5323, 7.9958]],
  "species": ["Sm", "Sm", "Sm", "Sm", "Sm", "Sm", "Sm", "Er", "Er", "Pm"],
  "fractional_positions": [[0.5000, 0.7056, 0.9373], [0.5000, 0.2944, 0.0627], [0.5000, 0.9373, 0.7056], [0.0000, 0.2245, 0.7755], [0.0000, 0.7755, 0.2245], [0.5000, 0.0627, 0.2944], [0.5000, 0.5000, 0.5000], [0.5000, 0.2958, 0.7042], [0.5000, 0.7042, 0.2958], [0.0000, 0.0000, 0.0000]],
  "formation_enthalpy_0k_ev_per_fu": 6.6,
  "polymorph_energy_mev_per_atom": 0,
  "density_g_cm3": 6.2
}

[3]
{
  "formula": "NaCdOs2N",
  "functional": "GGA-PBE",
  "state": "relaxed",
  "lattice_angstrom": [[4.0041, 0.0000, 0.0000], [0.0000, 4.6665, 0.0000], [0.0000, 0.0000, 4.0041]],
  "species": ["Cd", "Os", "Os", "Na", "N"],
  "fractional_positions": [[0.5000, 0.5000, 0.5000], [0.5000, 0.0000, 0.0000], [0.0000, 0.0000, 0.5000], [0.0000, 0.5000, 0.0000], [0.0000, 0.0000, 0.0000]],
  "e_form_raw_mev_per_atom": 453,
  "density_g_cm3": 11.8
}